Record 1
First-principles (PBEsol) data for a relaxed Cs2Cu5Se4 crystal, as listed in Alexandria.

Cell and atoms, written as POSCAR:
```
Cs2Cu5Se4
1.0
3.946 0.000 0.000
-1.973 9.534 0.000
0.000 0.000 12.967
Cs Cu Se
4 10 8
direct
0.138 0.276 0.250
0.862 0.724 0.750
0.000 0.000 0.000
0.000 0.000 0.500
0.786 0.572 0.451
0.214 0.428 0.951
0.786 0.572 0.049
0.214 0.428 0.549
0.087 0.175 0.750
0.913 0.825 0.250
0.650 0.299 0.843
0.350 0.701 0.157
0.350 0.701 0.343
0.650 0.299 0.657
0.342 0.684 0.523
0.342 0.684 0.977
0.658 0.316 0.477
0.658 0.316 0.023
0.212 0.423 0.750
0.788 0.577 0.250
0.522 0.043 0.750
0.478 0.957 0.250
```

Results
Total magnetic moment = 0.0 μB/cell
Space group = Cmcm
E_form (uncorrected) = -0.478 eV per atom

---

Record 2
First-principles (PBEsol) data for a relaxed CsSm2CuSe4 crystal, as listed in Alexandria.

Cell and atoms, written as POSCAR:
```
CsSm2CuSe4
1.0
-1.699 3.506 -1.435
-5.403 -3.388 4.130
4.557 7.000 11.706
Cs Sm Cu Se
2 4 2 8
direct
0.107 0.213 0.750
0.893 0.787 0.250
0.634 0.269 0.438
0.366 0.731 0.562
0.634 0.269 0.062
0.366 0.731 0.938
0.835 0.670 0.750
0.165 0.330 0.250
0.576 0.153 0.250
0.424 0.847 0.750
0.260 0.520 0.389
0.740 0.480 0.611
0.000 0.000 0.000
0.000 0.000 0.500
0.260 0.520 0.111
0.740 0.480 0.889
```

Results
Total magnetic moment = 0.0 μB/cell
Space group = Cmcm
E_form (uncorrected) = -1.503 eV per atom

---

Record 3
First-principles (PBEsol) data for a relaxed CsTiCu3Se4 crystal, as listed in Alexandria.

Cell and atoms, written as POSCAR:
```
CsTiCu3Se4
1.0
-2.398 0.965 -5.102
-6.912 0.105 3.268
2.011 9.105 3.959
Cs Ti Cu Se
2 2 6 8
direct
0.803 0.750 0.619
0.197 0.250 0.381
0.148 0.250 0.796
0.852 0.750 0.204
0.721 0.489 0.998
0.654 0.250 0.805
0.346 0.750 0.195
0.279 0.511 0.002
0.279 0.989 0.002
0.721 0.011 0.998
0.388 0.508 0.787
0.612 0.008 0.213
0.388 0.992 0.787
0.612 0.492 0.213
0.973 0.750 0.991
0.027 0.250 0.009
0.197 0.750 0.394
0.803 0.250 0.606
```

Results
Total magnetic moment = 0.0 μB/cell
Space group = P2_1/m
E_form (uncorrected) = -0.730 eV per atom

---

Record 4
First-principles (PBEsol) data for a relaxed CsCuSi3 crystal, as listed in Alexandria.

Cell and atoms, written as POSCAR:
```
CsCuSi3
1.0
4.779 0.000 0.000
0.000 4.779 0.000
0.000 0.000 4.779
Cs Si Cu
1 3 1
direct
0.500 0.500 0.500
0.000 0.500 0.000
0.000 0.000 0.500
0.500 0.000 0.000
0.000 0.000 0.000
```

Results
Total magnetic moment = 0.0 μB/cell
Space group = Pm-3m
E_form (uncorrected) = 0.738 eV per atom

---

Record 5
First-principles (PBEsol) data for a relaxed CsSrCu3 crystal, as listed in Alexandria.

Cell and atoms, written as POSCAR:
```
CsSrCu3
1.0
-3.900 1.998 -3.232
-3.611 -3.390 2.261
-1.183 3.763 3.753
Cs Sr Cu
1 1 3
direct
0.000 0.000 0.000
0.500 0.500 0.500
0.000 0.500 0.000
0.000 0.000 0.500
0.500 0.000 0.000
```

Results
Total magnetic moment = 0.0 μB/cell
Space group = Pm-3m

---

Record 6
First-principles (PBEsol) data for a relaxed CsSr2Cu crystal, as listed in Alexandria.

Cell and atoms, written as POSCAR:
```
CsSr2Cu
1.0
5.891 0.000 0.000
2.946 5.102 0.000
2.946 1.701 4.810
Cs Sr Cu
1 2 1
direct
0.500 0.500 0.500
0.250 0.250 0.250
0.750 0.750 0.750
0.000 0.000 0.000
```

Results
Total magnetic moment = 0.0 μB/cell
Space group = Fm-3m

---

Record 7
First-principles (PBEsol) data for a relaxed CsTaCu2Te4 crystal, as listed in Alexandria.

Cell and atoms, written as POSCAR:
```
CsTaCu2Te4
1.0
5.926 0.000 0.000
0.000 8.135 0.000
0.000 0.000 20.510
Cs Ta Cu Te
4 4 8 16
direct
0.016 0.705 0.438
0.516 0.295 0.562
0.516 0.795 0.938
0.016 0.205 0.062
0.259 0.706 0.148
0.759 0.294 0.852
0.759 0.794 0.648
0.259 0.206 0.352
0.266 0.961 0.248
0.766 0.039 0.752
0.766 0.539 0.748
0.266 0.461 0.252
0.260 0.794 0.647
0.760 0.206 0.353
0.760 0.706 0.147
0.260 0.294 0.853
0.515 0.969 0.144
0.015 0.031 0.856
0.015 0.531 0.644
0.515 0.469 0.356
0.516 0.944 0.351
0.016 0.056 0.649
0.016 0.556 0.851
0.516 0.444 0.149
0.997 0.711 0.252
0.497 0.289 0.748
0.497 0.789 0.752
0.997 0.211 0.248
0.007 0.693 0.044
0.507 0.307 0.956
0.507 0.807 0.544
0.007 0.193 0.456
```

Results
Total magnetic moment = 0.0 μB/cell
Space group = Pna2_1
E_form (uncorrected) = -0.427 eV per atom

---

Record 8
First-principles (PBEsol) data for a relaxed CsCuTe2 crystal, as listed in Alexandria.

Cell and atoms, written as POSCAR:
```
CsCuTe2
1.0
6.026 0.000 0.000
0.000 6.026 0.000
-3.013 -3.013 8.228
Cs Te Cu
2 4 2
direct
0.250 0.750 0.500
0.000 0.000 0.000
0.572 0.875 0.250
0.678 0.375 0.250
0.125 0.322 0.750
0.625 0.428 0.750
0.750 0.250 0.500
0.500 0.500 0.000
```

Results
Total magnetic moment = 0.0 μB/cell
Space group = I-42d
E_form (uncorrected) = -0.382 eV per atom

---

E
In order: -4.02 -5.36 -4.91 -3.77 -1.90 -1.82 -4.96 -3.46
Unit: eV/atom
Mass density
In order: 6.12 6.19 5.37 4.27 4.23 4.27 6.39 5.02
Unit: g cm⁻³